The following is a PBE-GGA calculation of an optimized crystal structure of Sr4AuN, from the Alexandria database.

**Formation energy from raw total energies**: -0.476 eV/atom
**Space-group type**: P2_1/c (14)
**Energy above the most stable polymorph in this dataset**: 0.009 eV per atom
**Crystal system**: monoclinic
**Calculated total energy**: -3.53 eV per atom

Unit cell a=7.576 b=11.512 c=10.484 alpha=90.00 beta=112.34 gamma=90.00
Atoms (fractional coordinates):
Sr 0.068 0.199 0.126
Sr 0.068 0.301 0.626
Sr 0.242 0.062 0.460
Sr 0.242 0.438 0.960
Sr 0.281 0.094 0.903
Sr 0.281 0.406 0.403
Sr 0.286 0.747 0.715
Sr 0.286 0.753 0.215
Sr 0.714 0.247 0.785
Sr 0.714 0.253 0.285
Sr 0.719 0.594 0.597
Sr 0.719 0.906 0.097
Sr 0.758 0.562 0.040
Sr 0.758 0.938 0.540
Sr 0.932 0.699 0.374
Sr 0.932 0.801 0.874
Au 0.436 0.021 0.233
Au 0.436 0.479 0.733
Au 0.564 0.521 0.267
Au 0.564 0.979 0.767
N 0.067 0.242 0.377
N 0.067 0.258 0.877
N 0.933 0.742 0.123
N 0.933 0.758 0.623

***

The following is a PBE-GGA calculation of an optimized crystal structure of ZrScRu2, from the Alexandria database.

**Space-group type**: Immm (71)
**Crystal system**: orthorhombic
**Calculated total energy**: -7.87 eV per atom

Unit cell a=5.803 b=5.803 c=5.803 alpha=151.33 beta=128.95 gamma=59.60
Atoms (fractional coordinates):
Zr 0.000 0.000 0.000
Sc 0.500 0.500 0.000
Ru 0.254 0.254 0.000
Ru 0.746 0.746 0.000

***

The following is a PBE-GGA calculation of an optimized crystal structure of AgAsCl2, from the Alexandria database.

**Formation energy from raw total energies**: 0.098 eV/atom
**Space-group type**: I-42d (122)
**Energy above the most stable polymorph in this dataset**: 0.386 eV per atom
**Crystal system**: tetragonal
**Calculated total energy**: -2.70 eV per atom

Unit cell a=8.985 b=8.985 c=8.985 alpha=148.91 beta=148.91 gamma=44.55
Atoms (fractional coordinates):
Ag 0.000 0.000 0.000
Ag 0.750 0.250 0.500
As 0.250 0.750 0.500
As 0.500 0.500 0.000
Cl 0.143 0.625 0.018
Cl 0.375 0.393 0.518
Cl 0.607 0.125 0.982
Cl 0.875 0.857 0.482